(1)
Compound: Sc3TaZn
Source: Alexandria via LeMat-Bulk
Functional: PBE
Structure: optimized geometry

Lattice parameters (Å, degrees): 5.123 5.123 5.123 90.00 90.00 90.00
Sites, in units of the cell vectors:
Sc 0.000 0.500 0.000
Sc 0.000 0.000 0.500
Sc 0.500 0.000 0.000
Zn 0.500 0.500 0.500
Ta 0.000 0.000 0.000

## Properties
Its spin magnetization is 0.00 μB per formula unit. The calculation puts the energy of formation at 0.768 eV per atom. The calculation puts the excess energy over the best structure of this formula in the dataset at 4 meV/atom. For the calculated total energy, the calculation gives -28.28 eV per cell. As for the space group: No. 221. The crystal system is cubic.

***

(2)
Compound: MgSc2InH
Source: Alexandria via LeMat-Bulk
Functional: PBE
Structure: optimized geometry

Lattice parameters (Å, degrees): 4.437 4.437 4.534 90.00 90.00 90.00
Each line ends with the local moment (μB).
Sites, in units of the cell vectors:
Sc 0.000 0.500 0.000  0.40
Sc 0.500 0.000 0.000  0.40
H 0.000 0.000 0.000  -0.01
Mg 0.000 0.000 0.500  0.00
In 0.500 0.500 0.500  0.00

## Properties
Its spin magnetization is 1.18 μB per formula unit. The calculation puts the excess energy over the best structure of this formula in the dataset at 0 meV/atom. For the calculated total energy, the calculation gives -22.04 eV per cell. As for the space group: No. 123. The crystal system is tetragonal.